Crystalline MoAsF2 at its relaxed geometry. Source: the Alexandria database, functional PBE+U.

Properties
For the energy above the most stable polymorph in this dataset, the calculation gives 0.000 eV/f.u. The calculation puts the magnetization at 1.17 μB/f.u. As for the crystal system: tetragonal. Its total energy is -4.8055 eV per atom.

```
MoAsF2
1.0
1.7735 -5.6480 -1.5240
-2.1423 2.2258 5.2749
-5.0015 0.5148 -3.4768
F Mo As
4 2 2
Direct
0.2185 0.8750 0.8435 F
0.6250 0.7815 0.6565 F
0.0315 0.3750 0.1565 F
0.1250 0.9685 0.3435 F
0.0000 0.0000 0.0000 Mo
0.2500 0.7500 0.5000 Mo
0.5000 0.5000 0.0000 As
0.7500 0.2500 0.5000 As
```